ReGePd2 | GGA-PBEsol | optimized geometry

Calculated volume (Å³/atom): 14.9

abc: 6.201 6.201 6.201
angles: 90.00 90.00 90.00
Space group Fm-3m (No. 225)
One atom of each set of equivalent atoms:
Re  0.000  0.000  0.000 [4 per cell]
Ge  0.000  0.000  0.500 [4 per cell]
Pd  0.250  0.250  0.250 [8 per cell]

---

Ge2PdRh2 | GGA-PBEsol | optimized geometry

Calculated volume (Å³/atom): 14.2

abc: 7.056 7.056 2.851
angles: 90.00 90.00 90.00
Space group P4/mbm (No. 127)
One atom of each set of equivalent atoms:
Ge  0.155  0.345  0.000 [4 per cell]
Pd  0.000  0.000  0.000 [2 per cell]
Rh  0.142  0.642  0.500 [4 per cell]

---

| no. | calculated density (g/cm³) | formation energy (eV per atom) | energy (eV/atom) |
| --- | --- | --- | --- |
| 1 | 13.14 | 0.3804 | -7.17 |
| 2 | 10.70 | -0.4854 | -6.91 |